# Pm3DyIr3

An optimized crystal structure of Pm3DyIr3 (PBE, Alexandria).

a b c (Å): 8.5603 8.5603 17.2073
angles (deg): 90.00 90.00 120.00
Space group R-3 (No. 148, hexagonal axes)
Unique sites:
1 Pm 0.0161 0.7314 0.1010 x18
2 Dy 0.0000 0.0000 0.3257 x6
3 Ir 0.0076 0.6286 0.9365 x18

Results
The polymorph energy (0 for the lowest one) is 0.0 kJ per mole of atoms. Its formation energy is -637 meV/atom. Its crystal system is trigonal.



# Cs2NdAuBr6

An optimized crystal structure of Cs2NdAuBr6 (PBE, Alexandria).

a b c (Å): 8.1775 8.1807 8.1898
angles (deg): 115.89 115.88 97.23
Space group P-1 (No. 2)
Unique sites:
1 Cs 0.2498 0.2498 0.9999 x2
2 Nd 0.0000 0.5000 0.5000 x1
3 Au 0.5000 0.0000 0.5000 x1
4 Br 0.2328 0.7341 0.9669 x2
5 Br 0.2352 0.2672 0.5013 x2
6 Br 0.2687 0.7700 0.5000 x2

Results
Its crystal system is triclinic.



# ReBPO2

An optimized crystal structure of ReBPO2 (PBE, Alexandria).

a b c (Å): 3.1808 3.1808 7.5109
angles (deg): 90.00 90.00 90.00
Space group P4/mmm (No. 123)
Unique sites:
1 Re 0.0000 0.0000 0.0000 x1
2 B 0.5000 0.5000 0.5000 x1
3 P 0.5000 0.5000 0.0000 x1
4 O 0.0000 0.5000 0.5000 x2

Results
The polymorph energy (0 for the lowest one) is 18.7 kJ per mole of atoms. Its crystal system is tetragonal.



# HOsCN

An optimized crystal structure of HOsCN (PBE, Alexandria).

a b c (Å): 7.1054 2.7588 5.0426
angles (deg): 90.00 133.27 90.00
Space group Cm (No. 8)
Unique sites:
1 H 0.0000 0.0000 0.0000 x2
2 Os 0.0899 0.0000 0.5772 x2
3 C 0.3759 0.0000 0.5505 x2
4 N 0.3534 0.5000 0.9968 x2

Results
The polymorph energy (0 for the lowest one) is 23.5 kJ per mole of atoms. Its crystal system is monoclinic.



# BaInNi

An optimized crystal structure of BaInNi (PBE, Alexandria).

a b c (Å): 12.7566 4.1232 8.5701
angles (deg): 90.00 129.87 90.00
Space group Cm (No. 8)
Unique sites:
1 Ba 0.0000 0.0000 0.0000 x2
2 Ba 0.0912 0.0000 0.6249 x2
3 In 0.3104 0.0000 0.5105 x2
4 In 0.3653 0.0000 0.1909 x2
5 Ni 0.1345 0.5000 0.3747 x2
6 Ni 0.2697 0.5000 0.2633 x2

Results
Its formation energy is -179 meV/atom. Its crystal system is monoclinic.



We obtain magnetic moment values of 0.0000 0.0000 0.2333 0.0000 0.0000 μB/atom for the records listed above, in that order.
We obtain raw total energy values of -7.128 -3.436 -6.683 -7.349 -3.660 eV/atom for the records listed above, in that order.